# 1
Below is a relaxed structure of CsBa4Sn3O12, with properties calculated at the PBE level.

```
CsBa4Sn3O12
1.0
-4.378 4.378 4.378
4.378 -4.378 4.378
4.378 4.378 -4.378
Cs Ba Sn O
1 4 3 12
Cartesian
0.000 0.000 0.000
2.189 2.189 -2.189
2.189 -2.189 2.189
-2.189 2.189 2.189
2.189 2.189 2.189
4.378 0.000 0.000
0.000 4.378 0.000
0.000 0.000 4.378
2.416 0.000 0.000
6.339 0.000 0.000
4.378 2.189 0.000
4.378 0.000 2.189
0.000 2.416 0.000
0.000 0.000 2.416
2.189 4.378 0.000
2.189 0.000 4.378
0.000 6.339 0.000
0.000 0.000 6.339
0.000 4.378 2.189
0.000 2.189 4.378
```

electronic total energy: -5.73 eV per atom
space group: Im-3m

# 2
Below is a relaxed structure of Cs2BaSnO4, with properties calculated at the PBE level.

```
Cs2BaSnO4
1.0
-3.273 3.273 4.907
3.273 -3.273 4.907
3.273 3.273 -4.907
Cs Ba Sn O
2 1 1 4
Cartesian
0.000 0.000 0.000
0.000 3.273 2.453
3.273 0.000 2.453
0.000 0.000 4.907
1.918 2.288 -1.088
4.258 1.918 1.088
1.355 0.985 3.819
-0.985 1.355 5.995
```

electronic total energy: -5.23 eV per atom
space group: I-4

How do the records compare in formation energy from raw total energies? In the order shown, they have -1.73 -1.80 eV/atom.